5
Lattice="4.476 0.000 0.000 0.000 4.476 0.000 0.000 0.000 4.825" Properties=species:S:1:pos:R:3 comment="PBE-GGA SrBe2AlZn, optimized geometry" crystal_system=tetragonal sg=P4/mmm pbc="T T T"
Sr 0.000 0.000 0.000
Be 0.000 2.238 2.412
Be 2.238 0.000 2.412
Al 2.238 2.238 0.000
Zn 2.238 2.238 2.412



5
Lattice="4.864 0.000 0.000 0.000 4.864 0.000 0.000 0.000 5.277" Properties=species:S:1:pos:R:3 comment="PBE-GGA SrZr2BeAl, optimized geometry" crystal_system=tetragonal sg=P4/mmm pbc="T T T"
Sr 0.000 0.000 0.000
Zr 0.000 2.432 2.639
Zr 2.432 0.000 2.639
Be 0.000 0.000 2.639
Al 2.432 2.432 0.000



4
Lattice="2.931 0.000 0.000 0.000 3.777 0.000 0.000 0.000 5.426" Properties=species:S:1:pos:R:3 comment="PBE-GGA TaBeAl2, optimized geometry" crystal_system=orthorhombic sg=Pmm2 pbc="T T T"
Ta 0.000 0.000 0.000
Be 1.465 1.888 4.144
Al 0.000 0.000 2.792
Al 1.465 1.888 1.366



12
Lattice="2.887 0.000 0.000 -1.444 2.500 0.000 0.000 0.000 25.857" Properties=species:S:1:pos:R:3 comment="PBE-GGA TaBeAl2, optimized geometry" crystal_system=trigonal sg=R3m pbc="T T T"
Ta 0.000 0.000 0.000
Ta 0.000 1.667 17.238
Ta 1.444 0.833 8.619
Be 0.000 0.000 6.521
Be 0.000 1.667 23.759
Be 1.444 0.833 15.140
Al 0.000 0.000 13.231
Al 0.000 0.000 19.553
Al 0.000 1.667 4.612
Al 0.000 1.667 10.934
Al 1.444 0.833 2.315
Al 1.444 0.833 21.850



8
Lattice="9.674 0.000 0.000 0.000 2.972 0.000 -1.667 0.000 4.109" Properties=species:S:1:pos:R:3 comment="PBE-GGA TaBeAl2, optimized geometry" crystal_system=monoclinic sg=Cm pbc="T T T"
Ta 0.000 0.000 0.000
Ta 4.837 1.486 0.000
Be 1.148 0.000 3.477
Be 5.985 1.486 3.477
Al -0.472 1.486 2.231
Al 2.102 1.486 1.294
Al 4.365 0.000 2.231
Al 6.939 0.000 1.294



6
Lattice="0.000 3.827 3.827 3.827 0.000 3.827 3.827 3.827 0.000" Properties=species:S:1:pos:R:3 comment="PBE-GGA Ta4BeAl, optimized geometry" crystal_system=cubic polymorph_energy_ev_per_atom=0.8711 sg=F-43m pbc="T T T"
Ta 0.956 0.956 0.956
Ta 2.870 2.870 0.956
Ta 2.870 0.956 2.870
Ta 0.956 2.870 2.870
Be 3.827 3.827 3.827
Al 5.740 5.740 5.740



4
Lattice="3.845 0.000 0.000 0.000 3.845 0.000 0.000 0.000 3.878" Properties=species:S:1:pos:R:3 comment="PBE-GGA TaBeAl2, optimized geometry" crystal_system=tetragonal sg=P4/mmm pbc="T T T"
Ta 0.000 0.000 0.000
Be 1.922 1.922 0.000
Al 0.000 1.922 1.939
Al 1.922 0.000 1.939



4
Lattice="2.889 0.000 0.000 0.000 3.997 0.000 -0.726 0.000 5.198" Properties=species:S:1:pos:R:3 comment="PBE-GGA TaBeAl2, optimized geometry" crystal_system=monoclinic sg=Pm pbc="T T T"
Ta 0.000 0.000 0.000
Be 0.837 1.999 4.160
Al 0.504 0.000 2.774
Al 1.522 1.999 1.373



What are the formation energy from the elements values for these records? In order: 422, 502, 20, 104, -41, 662, -137, -28 meV/atom.